[1]
Material: NdErPtAu
Method: DFT, PBE-GGA
State: relaxed

a = 7.187 Å, b = 7.187 Å, c = 7.187 Å
α = 90.00°, β = 90.00°, γ = 90.00°
Sites, in units of the cell vectors:
Nd 0.000 0.000 0.000
Nd 0.000 0.500 0.500
Nd 0.500 0.000 0.500
Nd 0.500 0.500 0.000
Er 0.000 0.000 0.500
Er 0.000 0.500 0.000
Er 0.500 0.000 0.000
Er 0.500 0.500 0.500
Pt 0.250 0.250 0.750
Pt 0.250 0.750 0.250
Pt 0.750 0.250 0.250
Pt 0.750 0.750 0.750
Au 0.250 0.250 0.250
Au 0.250 0.750 0.750
Au 0.750 0.250 0.750
Au 0.750 0.750 0.250

Results
Symmetry ... F-43m, No. 216
Calculated volume ... 23.20 Å³/atom
Energy of formation ... -93.55 kJ per mole of atoms
Distance to the lowest polymorph of the same formula ... 54.5 meV/atom
Calculated total energy ... -5.6318 eV/atom
D(E_F) ... 2.689 states/eV/f.u.

[2]
Material: UHRu2
Method: DFT, PBE-GGA
State: relaxed

a = 9.192 Å, b = 4.963 Å, c = 4.960 Å
α = 90.00°, β = 100.96°, γ = 90.00°
Sites, in units of the cell vectors:
U 0.250 0.250 0.000
U 0.250 0.750 0.500
U 0.750 0.250 0.500
U 0.750 0.750 0.000
H 0.000 0.002 0.250
H 0.000 0.998 0.750
H 0.500 0.498 0.750
H 0.500 0.502 0.250
Ru 0.098 0.269 0.545
Ru 0.098 0.731 0.045
Ru 0.402 0.231 0.455
Ru 0.402 0.769 0.955
Ru 0.598 0.231 0.045
Ru 0.598 0.769 0.545
Ru 0.902 0.269 0.955
Ru 0.902 0.731 0.455

Results
Symmetry ... C2/c, No. 15
Calculated volume ... 13.88 Å³/atom
Distance to the lowest polymorph of the same formula ... 0.0 meV/atom
Calculated total energy ... -8.3999 eV/atom
D(E_F) ... 3.044 states/eV/f.u.

[3]
Material: CrIrIN2
Method: DFT, PBE-GGA
State: relaxed

a = 3.803 Å, b = 3.803 Å, c = 7.993 Å
α = 90.00°, β = 90.00°, γ = 90.00°
Sites, in units of the cell vectors:
Cr 0.000 0.000 0.000
Ir 0.500 0.500 0.500
I 0.500 0.500 0.000
N 0.000 0.500 0.500
N 0.500 0.000 0.500

Results
Uncorrected formation energy ... 89.72 kJ per mole of atoms
Symmetry ... P4/mmm, No. 123
Calculated volume ... 23.12 Å³/atom
Distance to the lowest polymorph of the same formula ... 0.0 meV/atom
Calculated total energy ... -6.4072 eV/atom
D(E_F) ... 1.657 states/eV/f.u.

[4]
Material: Cs4NaAu
Method: DFT, PBE-GGA
State: relaxed

a = 7.594 Å, b = 10.086 Å, c = 11.270 Å
α = 90.00°, β = 100.63°, γ = 90.00°
Sites, in units of the cell vectors:
Cs 0.099 0.250 0.042
Cs 0.226 0.750 0.356
Cs 0.361 0.520 0.776
Cs 0.361 0.980 0.776
Cs 0.639 0.020 0.224
Cs 0.639 0.480 0.224
Cs 0.774 0.250 0.644
Cs 0.901 0.750 0.958
Na 0.213 0.250 0.428
Na 0.787 0.750 0.572
Au 0.409 0.750 0.039
Au 0.591 0.250 0.961

Results
Symmetry ... P2_1/m, No. 11
Calculated volume ... 70.71 Å³/atom
Energy of formation ... -9.09 kJ per mole of atoms
Distance to the lowest polymorph of the same formula ... 5.8 meV/atom
Calculated total energy ... -1.4293 eV/atom
D(E_F) ... 5.179 states/eV/f.u.